# HfMg2Te

An optimized crystal structure of HfMg2Te (PBE-GGA, OQMD). Values from VASP.

Summary:
E_tot in eV/atom: -3.92
Total magnetization in μB/cell: 0.00

Cell and atoms, written as Quantum ESPRESSO input:
```
&SYSTEM
  ibrav = 0, nat = 4, ntyp = 3
/
ATOMIC_SPECIES
Te 127.60 Te.upf
Hf 178.49 Hf.upf
Mg 24.30 Mg.upf
ATOMIC_POSITIONS crystal
Te 0.750 0.750 0.750
Hf 0.500 0.500 0.500
Mg 0.250 0.250 0.250
Mg 0.000 0.000 0.000
CELL_PARAMETERS angstrom
0.000 3.571 3.571
3.571 0.000 3.571
3.571 3.571 0.000
```